This record from Alexandria via LeMat-Bulk describes crystalline TlV2SeO8 at its relaxed geometry. The functional is PBE with a Hubbard U.

The structure in POSCAR format:
```
TlV2SeO8
1.0
4.374 -2.809 0.000
4.374 2.809 0.000
-0.468 0.000 8.059
Tl V Se O
1 2 1 8
Cartesian
0.000 0.000 0.000
2.900 0.000 5.575
5.379 0.000 2.484
-0.234 0.000 4.030
1.662 0.000 4.324
3.914 1.485 5.408
4.365 1.485 2.651
2.292 0.000 7.109
5.987 0.000 0.950
3.914 -1.485 5.408
4.365 -1.485 2.651
6.617 0.000 3.735
```

## Properties
Space-group type: C2/m (12)
Calculated total energy, eV/atom: -6.303
Total magnetization, μB/atom: 0.0000

This record from Alexandria via LeMat-Bulk describes crystalline TlV3Se2O12 at its relaxed geometry. The functional is PBE with a Hubbard U.

The structure in POSCAR format:
```
TlV3Se2O12
1.0
7.175 0.000 0.000
-3.587 6.213 0.000
0.000 0.000 12.221
Tl V Se O
2 6 4 24
Cartesian
0.000 4.142 0.000
3.587 2.071 6.110
-1.930 4.939 7.656
0.275 2.072 7.656
1.932 0.798 1.545
1.655 5.415 7.656
3.312 4.141 1.545
5.517 1.274 1.545
0.000 0.000 4.138
0.000 0.000 10.248
0.000 4.142 5.017
3.587 2.071 11.128
-1.353 3.363 7.933
-0.037 1.575 9.505
-0.009 1.557 1.174
-2.234 5.443 1.174
-2.205 5.458 9.505
-0.046 2.564 5.737
-1.344 4.972 5.737
1.344 0.787 7.285
1.345 0.820 3.395
2.197 1.322 11.847
1.352 3.361 7.933
0.001 5.704 7.933
3.586 0.510 1.822
2.236 2.853 1.822
1.390 4.891 5.737
2.242 5.394 9.505
2.244 5.427 1.174
4.931 1.242 11.847
3.634 3.649 11.847
5.792 0.755 3.395
5.822 0.770 7.285
3.597 4.656 7.285
3.625 4.638 3.395
4.940 2.851 1.822
```

## Properties
Space-group type: P6_3 (173)
Calculated total energy, eV/atom: -6.468
Total magnetization, μB/atom: 0.0000

This record from Alexandria via LeMat-Bulk describes crystalline TlWSe2O8 at its relaxed geometry. The functional is PBE with a Hubbard U.

The structure in POSCAR format:
```
TlWSe2O8
1.0
5.358 -2.742 0.000
5.358 2.742 0.000
-1.311 0.000 7.980
Tl W Se O
1 1 2 8
Cartesian
0.000 0.000 0.000
-0.655 0.000 3.990
3.296 0.000 2.510
6.108 0.000 5.470
1.158 0.000 3.692
4.540 1.328 2.561
2.822 0.000 0.940
4.865 1.328 5.418
4.540 -1.328 2.561
6.583 0.000 7.040
4.865 -1.328 5.418
8.247 0.000 4.287
```

## Properties
Space-group type: C2/m (12)
Calculated total energy, eV/atom: -5.679
Total magnetization, μB/atom: 0.0767